[1]
P2OF | PBE | relaxed

a = 4.0400 Å, b = 4.0400 Å, c = 4.0400 Å
α = 60.00°, β = 60.00°, γ = 60.00°
Sites, in units of the cell vectors:
F 0.5000 0.5000 0.5000
P 0.7500 0.7500 0.7500
P 0.2500 0.2500 0.2500
O 0.0000 0.0000 0.0000

Computed properties:
Magnetization, μB per formula unit: 0.00
E_tot, eV/atom: -3.986
Density, g cm⁻³: 3.45
Energy relative to the lowest polymorph listed for this composition, meV per atom: 840.9
N(E_F), states/eV/f.u.: 3.14

[2]
Ca3H12Pd5 | PBE | relaxed

a = 10.2784 Å, b = 10.2784 Å, c = 10.2784 Å
α = 109.47°, β = 109.47°, γ = 109.47°
Sites, in units of the cell vectors:
Ca 0.8750 0.7500 0.1250
Ca 0.3750 0.7500 0.6250
Ca 0.6250 0.3750 0.7500
Ca 0.1250 0.2500 0.8750
Ca 0.8750 0.1250 0.2500
Ca 0.2500 0.1250 0.3750
Ca 0.7500 0.3750 0.1250
Ca 0.2500 0.6250 0.8750
Ca 0.3750 0.6250 0.2500
Ca 0.1250 0.8750 0.7500
Ca 0.6250 0.2500 0.3750
Ca 0.7500 0.8750 0.6250
H 0.1066 0.4198 0.0924
H 0.6066 0.0142 0.1868
H 0.1066 0.6868 0.5142
H 0.4198 0.1066 0.5924
H 0.3934 0.4076 0.0802
H 0.5802 0.8934 0.4076
H 0.0142 0.6066 0.6868
H 0.3132 0.4198 0.8274
H 0.9858 0.3934 0.3132
H 0.8132 0.4858 0.3934
H 0.0802 0.1726 0.1868
H 0.6726 0.4858 0.5924
H 0.0142 0.4076 0.8274
H 0.4198 0.3132 0.3274
H 0.8132 0.3274 0.9198
H 0.9198 0.0924 0.6066
H 0.1726 0.0924 0.9858
H 0.4076 0.3934 0.5802
H 0.1868 0.5142 0.6066
H 0.1726 0.0802 0.6868
H 0.3132 0.8934 0.9858
H 0.9076 0.0802 0.8934
H 0.6066 0.5924 0.9198
H 0.5142 0.1868 0.1066
H 0.1868 0.6726 0.0802
H 0.9076 0.8274 0.5142
H 0.4858 0.8132 0.8934
H 0.9858 0.5924 0.1726
H 0.8934 0.5802 0.9076
H 0.4858 0.6726 0.0924
H 0.9198 0.8274 0.8132
H 0.3274 0.8132 0.4198
H 0.6868 0.5802 0.1726
H 0.5802 0.6868 0.6726
H 0.6726 0.1868 0.5802
H 0.0924 0.1726 0.4858
H 0.5924 0.6066 0.4198
H 0.5142 0.3274 0.9076
H 0.8274 0.9198 0.3132
H 0.8274 0.9076 0.0142
H 0.5924 0.9858 0.6726
H 0.4076 0.0142 0.3274
H 0.3934 0.9858 0.8132
H 0.3274 0.5142 0.4076
H 0.6868 0.1066 0.0142
H 0.8934 0.3132 0.4858
H 0.0802 0.9076 0.3934
H 0.0924 0.9198 0.1066
Pd 0.3750 0.2500 0.1250
Pd 0.8750 0.2500 0.6250
Pd 0.0000 0.5000 0.0000
Pd 0.5000 0.5000 0.0000
Pd 0.1250 0.3750 0.2500
Pd 0.7500 0.1250 0.8750
Pd 0.0000 0.0000 0.0000
Pd 0.8750 0.6250 0.7500
Pd 0.6250 0.8750 0.2500
Pd 0.5000 0.0000 0.5000
Pd 0.2500 0.3750 0.6250
Pd 0.0000 0.5000 0.5000
Pd 0.2500 0.8750 0.1250
Pd 0.0000 0.0000 0.5000
Pd 0.7500 0.6250 0.3750
Pd 0.3750 0.1250 0.7500
Pd 0.5000 0.0000 0.0000
Pd 0.6250 0.7500 0.8750
Pd 0.1250 0.7500 0.3750
Pd 0.5000 0.5000 0.5000

Computed properties:
Magnetization, μB per formula unit: 0.00
E_tot, eV/atom: -3.914
Density, g cm⁻³: 5.28
N(E_F), states/eV/f.u.: 5.18

[3]
Re2TcAg | PBE | relaxed

a = 4.8793 Å, b = 4.8793 Å, c = 4.8361 Å
α = 79.47°, β = 79.47°, γ = 33.23°
Sites, in units of the cell vectors:
Tc 0.5117 0.5117 0.4763
Re 0.2485 0.2485 0.2494
Re 0.9896 0.9896 0.0260
Ag 0.7502 0.7502 0.7484

Computed properties:
Energy relative to the elements, eV per atom: 0.435
Magnetization, μB per formula unit: 0.00
E_tot, eV/atom: -9.093
Density, g cm⁻³: 15.51
Energy relative to the lowest polymorph listed for this composition, meV per atom: 183.6
N(E_F), states/eV/f.u.: 2.76

[4]
LaNd5DyEr2 | PBE | relaxed

a = 5.7259 Å, b = 10.5705 Å, c = 10.6860 Å
α = 90.00°, β = 90.00°, γ = 105.71°
Sites, in units of the cell vectors:
Er 0.1158 0.2315 0.3189
Er 0.8867 0.7733 0.2344
Er 0.1133 0.2267 0.7344
Er 0.8842 0.7685 0.8189
Nd 0.3854 0.7707 0.0241
Nd 0.5204 0.0409 0.2408
Nd 0.2804 0.5607 0.3142
Nd 0.7196 0.4393 0.8142
Nd 0.2961 0.5921 0.7063
Nd 0.6146 0.2293 0.5241
Nd 0.4796 0.9591 0.7408
Nd 0.7039 0.4079 0.2063
Nd 0.9832 0.9664 0.5231
Nd 0.0168 0.0336 0.0231
La 0.4155 0.8310 0.4509
La 0.5845 0.1690 0.9509
Dy 0.8011 0.6022 0.5113
Dy 0.1989 0.3978 0.0113

Computed properties:
Energy relative to the elements, eV per atom: 0.150
Magnetization, μB per formula unit: 0.00
E_tot, eV/atom: -4.571
Density, g cm⁻³: 7.24
N(E_F), states/eV/f.u.: 14.30

[5]
AlTe2W | PBE | relaxed

a = 5.3932 Å, b = 5.3932 Å, c = 5.3932 Å
α = 132.59°, β = 132.59°, γ = 69.30°
Site moments in Bohr magnetons follow the coordinates.
Sites, in units of the cell vectors:
Te 0.0000 0.0000 0.0000  -0.01
Te 0.2500 0.7500 0.5000  -0.02
W 0.5000 0.5000 0.0000  0.82
Al 0.7500 0.2500 0.5000  -0.01

Computed properties:
Magnetization, μB per formula unit: 1.04
E_tot, eV/atom: -4.891
Density, g cm⁻³: 9.28
N(E_F), states/eV/f.u.: 3.58

[6]
BeTlCd2 | PBE | relaxed

a = 4.5224 Å, b = 3.8485 Å, c = 5.5748 Å
α = 65.33°, β = 90.00°, γ = 90.00°
Sites, in units of the cell vectors:
Cd 0.0000 0.8750 0.9652
Cd 0.0000 0.6250 0.5348
Tl 0.5000 0.2500 0.2500
Be 0.5000 0.7500 0.7500

Computed properties:
Energy relative to the elements, eV per atom: 0.385
Magnetization, μB per formula unit: 0.00
E_tot, eV/atom: -1.596
Density, g cm⁻³: 8.25
Energy relative to the lowest polymorph listed for this composition, meV per atom: 96.3
N(E_F), states/eV/f.u.: 1.05

[7]
Sm15YTm4 | PBE | relaxed

a = 5.0909 Å, b = 5.0909 Å, c = 25.3785 Å
α = 90.00°, β = 90.00°, γ = 90.00°
Sites, in units of the cell vectors:
Sm 0.5000 0.5000 0.2008
Sm 0.0000 0.5000 0.1010
Sm 0.0000 0.5000 0.6996
Sm 0.5000 0.0000 0.6996
Sm 0.0000 0.5000 0.5000
Sm 0.5000 0.5000 0.7992
Sm 0.5000 0.5000 0.0000
Sm 0.5000 0.0000 0.5000
Sm 0.5000 0.0000 0.1010
Sm 0.5000 0.5000 0.4002
Sm 0.0000 0.5000 0.3004
Sm 0.5000 0.0000 0.8990
Sm 0.5000 0.0000 0.3004
Sm 0.0000 0.5000 0.8990
Sm 0.5000 0.5000 0.5998
Tm 0.0000 0.0000 0.5998
Tm 0.0000 0.0000 0.4002
Tm 0.0000 0.0000 0.2007
Tm 0.0000 0.0000 0.7993
Y 0.0000 0.0000 0.0000

Computed properties:
Energy relative to the elements, eV per atom: 0.015
Magnetization, μB per formula unit: 0.00
E_tot, eV/atom: -4.742
Density, g cm⁻³: 7.62
N(E_F), states/eV/f.u.: 26.51

[8]
Tl2SnPdW | PBE | relaxed

a = 5.3750 Å, b = 4.9172 Å, c = 5.3750 Å
α = 90.00°, β = 90.00°, γ = 90.00°
Sites, in units of the cell vectors:
Sn 0.5000 0.5000 0.5000
Tl 0.5000 0.0000 0.0000
Tl 0.0000 0.0000 0.5000
Pd 0.0000 0.5000 0.0000
W 0.0000 0.0000 0.0000

Computed properties:
Energy relative to the elements, eV per atom: 0.964
Magnetization, μB per formula unit: 0.00
E_tot, eV/atom: -4.412
Density, g cm⁻³: 9.56
N(E_F), states/eV/f.u.: 4.59

[9]
Si2Ag2Ru | PBE | relaxed

a = 3.6889 Å, b = 3.6889 Å, c = 6.5554 Å
α = 73.66°, β = 73.66°, γ = 90.00°
Site moments in Bohr magnetons follow the coordinates.
Sites, in units of the cell vectors:
Ag 0.7500 0.2500 0.5000  0.00
Ag 0.2500 0.7500 0.5000  0.00
Ru 0.0000 0.0000 0.0000  0.37
Si 0.5922 0.5922 0.8155  0.00
Si 0.4078 0.4078 0.1845  0.00

Computed properties:
Magnetization, μB per formula unit: 0.38
E_tot, eV/atom: -4.645
Density, g cm⁻³: 7.57
Energy relative to the lowest polymorph listed for this composition, meV per atom: 404.1
N(E_F), states/eV/f.u.: 4.98

[10]
Zn2TcPt2 | PBE | relaxed

a = 7.3197 Å, b = 7.3197 Å, c = 2.7792 Å
α = 90.00°, β = 90.00°, γ = 90.00°
Sites, in units of the cell vectors:
Zn 0.6242 0.1242 0.0000
Zn 0.1242 0.3758 0.0000
Zn 0.8758 0.6242 0.0000
Zn 0.3758 0.8758 0.0000
Pt 0.1748 0.6748 0.5000
Pt 0.8252 0.3252 0.5000
Pt 0.6748 0.8252 0.5000
Pt 0.3252 0.1748 0.5000
Tc 0.0000 0.0000 0.0000
Tc 0.5000 0.5000 0.0000

Computed properties:
Energy relative to the elements, eV per atom: -0.132
Magnetization, μB per formula unit: 0.00
E_tot, eV/atom: -5.131
Density, g cm⁻³: 13.81
Energy relative to the lowest polymorph listed for this composition, meV per atom: 0.0
N(E_F), states/eV/f.u.: 3.53

[11]
La2YN | PBE | relaxed

a = 7.4530 Å, b = 7.4530 Å, c = 7.0353 Å
α = 58.02°, β = 58.02°, γ = 90.00°
Sites, in units of the cell vectors:
Y 0.7500 0.2500 0.5000
Y 0.0000 0.0000 0.0000
La 0.3750 0.5164 0.7500
La 0.2664 0.6250 0.2500
La 0.8750 0.7336 0.7500
La 0.4836 0.1250 0.2500
N 0.5000 0.5000 0.0000
N 0.2500 0.7500 0.5000

Computed properties:
Magnetization, μB per formula unit: 0.00
E_tot, eV/atom: -6.527
Density, g cm⁻³: 4.88
N(E_F), states/eV/f.u.: 6.16

[12]
PmBeCuC | PBE | relaxed

a = 3.7803 Å, b = 3.7803 Å, c = 8.1547 Å
α = 90.00°, β = 90.00°, γ = 90.00°
Sites, in units of the cell vectors:
C 0.5000 0.0000 0.8517
C 0.0000 0.5000 0.1483
Pm 0.5000 0.0000 0.1598
Pm 0.0000 0.5000 0.8402
Cu 0.0000 0.0000 0.5000
Cu 0.5000 0.5000 0.5000
Be 0.0000 0.5000 0.3501
Be 0.5000 0.0000 0.6499

Computed properties:
Energy relative to the elements, eV per atom: -0.089
Magnetization, μB per formula unit: 0.00
E_tot, eV/atom: -5.538
Density, g cm⁻³: 6.54
N(E_F), states/eV/f.u.: 0.99

[13]
SbIrBr2 | PBE | relaxed

a = 3.3962 Å, b = 3.3962 Å, c = 11.0532 Å
α = 90.00°, β = 90.00°, γ = 120.60°
Sites, in units of the cell vectors:
Ir 0.5000 0.5000 0.2500
Br 0.0000 0.0000 0.0845
Br 0.0000 0.0000 0.4155
Sb 0.5000 0.5000 0.7500

Computed properties:
Magnetization, μB per formula unit: 0.00
E_tot, eV/atom: -3.554
Density, g cm⁻³: 7.17
Energy relative to the lowest polymorph listed for this composition, meV per atom: 820.8
N(E_F), states/eV/f.u.: 4.47

[14]
Sc3TlN | PBE | relaxed

a = 4.2421 Å, b = 4.2421 Å, c = 14.0941 Å
α = 81.34°, β = 81.34°, γ = 90.00°
Sites, in units of the cell vectors:
N 0.6352 0.1352 0.7297
N 0.8648 0.3648 0.2703
Sc 0.6504 0.8935 0.2129
Sc 0.1065 0.3496 0.7871
Sc 0.3263 0.3263 0.3474
Sc 0.1065 0.8634 0.7871
Sc 0.1366 0.8935 0.2129
Sc 0.6737 0.6737 0.6526
Tl 0.2500 0.7500 0.5000
Tl 0.0000 0.0000 0.0000

Computed properties:
Magnetization, μB per formula unit: 0.00
E_tot, eV/atom: -5.396
Density, g cm⁻³: 4.73
N(E_F), states/eV/f.u.: 4.11

[15]
Li2GeAu | PBE | relaxed

a = 4.4233 Å, b = 4.4229 Å, c = 8.1545 Å
α = 90.00°, β = 90.00°, γ = 120.00°
Sites, in units of the cell vectors:
Ge 0.0002 0.0003 0.2500
Ge 0.9998 0.9997 0.7500
Li 0.3332 0.6664 0.5869
Li 0.6668 0.3336 0.0869
Li 0.6668 0.3336 0.4131
Li 0.3332 0.6664 0.9131
Au 0.3335 0.6670 0.2500
Au 0.6665 0.3330 0.7500

Computed properties:
Energy relative to the elements, eV per atom: -0.431
Magnetization, μB per formula unit: 0.00
E_tot, eV/atom: -3.362
Density, g cm⁻³: 6.81
N(E_F), states/eV/f.u.: 0.71

[16]
LaDy2Sb2 | PBE | relaxed

a = 7.9896 Å, b = 7.9896 Å, c = 6.2814 Å
α = 110.97°, β = 110.97°, γ = 98.88°
Sites, in units of the cell vectors:
Dy 0.4218 0.7282 0.0120
Dy 0.7718 0.0782 0.4880
Dy 0.2282 0.9218 0.5120
Dy 0.5782 0.2718 0.9880
La 0.1074 0.3926 0.2500
La 0.8926 0.6074 0.7500
Sb 0.8223 0.6777 0.2500
Sb 0.3781 0.1219 0.2500
Sb 0.6219 0.8781 0.7500
Sb 0.1777 0.3223 0.7500

Computed properties:
Magnetization, μB per formula unit: 0.00
E_tot, eV/atom: -5.176
Density, g cm⁻³: 7.10
N(E_F), states/eV/f.u.: 4.52

[17]
FeHgS2N | PBE | relaxed

a = 5.0861 Å, b = 5.0861 Å, c = 3.9733 Å
α = 90.00°, β = 90.00°, γ = 90.00°
Site moments in Bohr magnetons follow the coordinates.
Sites, in units of the cell vectors:
Fe 0.5000 0.5000 0.5000  3.49
S 0.5000 0.0000 0.0000  0.08
S 0.0000 0.5000 0.0000  0.08
N 0.0000 0.0000 0.5000  -0.03
Hg 0.0000 0.0000 0.0000  -0.01

Computed properties:
Magnetization, μB per formula unit: 3.84
E_tot, eV/atom: -3.341
Density, g cm⁻³: 5.41
Energy relative to the lowest polymorph listed for this composition, meV per atom: 1304.0
N(E_F), states/eV/f.u.: 9.32

[18]
K3Pr2PaS6 | PBE | relaxed

a = 7.1956 Å, b = 7.1956 Å, c = 7.8039 Å
α = 98.86°, β = 98.86°, γ = 119.99°
Site moments in Bohr magnetons follow the coordinates.
Sites, in units of the cell vectors:
S 0.9303 0.6118 0.7911  -0.01
S 0.7517 0.7517 0.2089  -0.01
S 0.0697 0.3882 0.2089  -0.01
S 0.3882 0.0697 0.2089  -0.01
S 0.2483 0.2483 0.7911  -0.01
S 0.6118 0.9303 0.7911  -0.01
Pa 0.0000 0.0000 0.0000  1.03
Pr 0.6664 0.3336 0.0000  0.11
Pr 0.3336 0.6664 0.0000  0.11
K 0.1695 0.8305 0.5000  0.00
K 0.5000 0.5000 0.5000  0.00
K 0.8305 0.1695 0.5000  0.00

Computed properties:
Magnetization, μB per formula unit: 1.64
E_tot, eV/atom: -5.636
Density, g cm⁻³: 4.10
N(E_F), states/eV/f.u.: 7.16

[19]
Rb2Tl3Cd4Pb | PBE | relaxed

a = 5.1459 Å, b = 5.1459 Å, c = 12.8056 Å
α = 90.00°, β = 90.00°, γ = 90.00°
Sites, in units of the cell vectors:
Cd 0.0000 0.0000 0.0000
Cd 0.5000 0.5000 0.0000
Cd 0.5000 0.0000 0.6376
Cd 0.0000 0.5000 0.3624
Pb 0.5000 0.5000 0.5000
Tl 0.0000 0.5000 0.1279
Tl 0.5000 0.0000 0.8721
Tl 0.0000 0.0000 0.5000
Rb 0.0000 0.5000 0.7531
Rb 0.5000 0.0000 0.2469

Computed properties:
Energy relative to the elements, eV per atom: -0.050
Magnetization, μB per formula unit: 0.00
E_tot, eV/atom: -1.690
Density, g cm⁻³: 7.06
N(E_F), states/eV/f.u.: 6.55

[20]
Rb4Be2N | PBE | relaxed

a = 5.6746 Å, b = 5.6746 Å, c = 10.0584 Å
α = 73.62°, β = 73.62°, γ = 90.00°
Site moments in Bohr magnetons follow the coordinates.
Sites, in units of the cell vectors:
Be 0.3633 0.3633 0.2733  0.03
Be 0.6367 0.6367 0.7267  0.03
Rb 0.8360 0.8360 0.3280  0.01
Rb 0.1640 0.1640 0.6720  0.01
Rb 0.5000 0.0000 0.0000  0.02
Rb 0.0000 0.5000 0.0000  0.02
N 0.0000 0.0000 0.0000  0.85

Computed properties:
Magnetization, μB per formula unit: 1.84
E_tot, eV/atom: -1.747
Density, g cm⁻³: 2.09
N(E_F), states/eV/f.u.: 4.84